# 1
Entry from the Alexandria database: a relaxed DyTaIO4 crystal (GGA-PBE).

Crystal system: monoclinic
Space-group type: C2/m, No. 12
Formation energy without anion corrections (eV/atom): -2.62

Unit cell a=7.284 b=7.284 c=6.823 alpha=75.06 beta=75.06 gamma=52.07
Positions (direct):
Dy 0.707 0.707 0.177
O 0.539 0.539 0.154
Dy 0.293 0.293 0.823
I 0.041 0.041 0.296
Ta 0.388 0.388 0.209
O 0.340 0.340 0.492
O 0.461 0.461 0.846
I 0.959 0.959 0.704
Ta 0.612 0.612 0.791
O 0.546 0.089 0.127
O 0.911 0.454 0.873
O 0.089 0.546 0.127
O 0.660 0.660 0.508
O 0.454 0.911 0.873


# 2
Entry from the Alexandria database: a relaxed La2MgIn6Ni crystal (GGA-PBE).

Crystal system: monoclinic
Space-group type: C2/m, No. 12
Density of states at the Fermi level (states/eV/atom): 0.360
Uncorrected energy (eV per atom): -3.569

Unit cell a=6.754 b=7.912 c=6.755 alpha=64.98 beta=60.01 gamma=90.01
Positions (direct):
In 0.240 0.187 0.058
Ni 0.000 0.000 0.000
In 0.242 0.192 0.517
La 0.788 0.365 0.424
In 0.760 0.813 0.942
In 0.297 0.813 0.942
La 0.212 0.635 0.576
In 0.758 0.808 0.483
Mg 0.500 0.500 0.000
In 0.703 0.187 0.058


# 3
Entry from the Alexandria database: a relaxed FeIr2 crystal (GGA-PBE).

Crystal system: hexagonal
Space-group type: P6/mmm, No. 191
Density of states at the Fermi level (states/eV/atom): 1.582
Uncorrected energy (eV per atom): -8.528

Unit cell a=4.329 b=4.329 c=2.677 alpha=90.00 beta=90.00 gamma=120.00
Last column: magnetic moment on the atom in μB.
Positions (direct):
Ir 0.667 0.333 0.500  0.20
Ir 0.333 0.667 0.500  0.20
Fe 0.000 0.000 0.000  2.88